Compound: SrY2Pd3
Source: OQMD
Functional: PBE
Structure: optimized geometry

## Properties
size of the total moment = 0.01 μB/f.u.
total energy = -33.92 eV/f.u.
calculated volume = 25.50 Å³/atom

a = 4.1127 Å, b = 4.1127 Å, c = 10.4437 Å
α = 90.00°, β = 90.00°, γ = 120.00°
Closest atoms and distances in Å follow each position.
Atoms (fractional coordinates):
1 Sr 0.0000 0.0000 0.0000  6 Pd 3.09
2 Y 0.3333 0.6667 0.3427  6 Pd 2.86-2.89
3 Y 0.6667 0.3333 0.6573  6 Pd 2.86-2.89
4 Pd 0.0000 0.0000 0.5000  6 Y 2.89
5 Pd 0.3333 0.6667 0.8101  3 Y 2.86, 3 Sr 3.09
6 Pd 0.6667 0.3333 0.1899  3 Y 2.86, 3 Sr 3.09